No. 1
# CuSbPb

A PBEsol-optimized structure of CuSbPb (SCAN, Alexandria).

```
CuSbPb
1.0
0.000 2.366 6.208
2.284 0.000 6.208
2.284 2.366 0.000
Cu Sb Pb
1 1 1
direct
0.000 0.000 0.000 Cu
0.378 0.378 0.622 Sb
0.652 0.652 0.348 Pb
```

Properties
- Formation energy without anion corrections: 200 meV per atom
- Crystal system: orthorhombic


No. 2
# Sc2ZnNi

A PBEsol-optimized structure of Sc2ZnNi (SCAN, Alexandria).

```
Sc2ZnNi
1.0
3.202 0.000 0.000
0.000 3.202 0.000
0.000 0.000 6.469
Sc Zn Ni
2 1 1
direct
0.000 0.000 0.233 Sc
0.000 0.000 0.767 Sc
0.500 0.500 0.500 Zn
0.500 0.500 0.000 Ni
```

Properties
- Final energy: -15.045 eV per atom
- Crystal system: tetragonal